(1)
Below is BaP10 after structural relaxation, with properties calculated at the PBE level. Values from VASP.

Its crystal system is orthorhombic. The value obtained for the total magnetization is 0.000 μB/cell. As for the symmetry: Cmc2_1, No. 36. The value obtained for the total energy is -5.3522 eV/atom. The calculation puts the formation energy at -0.26 eV/atom.

Quantum ESPRESSO input file:
```
&SYSTEM
  ibrav = 0, nat = 22, ntyp = 2
/
ATOMIC_SPECIES
Ba 137.33 Ba.upf
P 30.97 P.upf
CELL_PARAMETERS angstrom
7.2529 0.0056 0.0000
-4.3500 5.8036 0.0000
0.0000 0.0000 12.1473
ATOMIC_POSITIONS crystal
Ba 0.1882 0.8118 0.0074
Ba 0.8118 0.1882 0.5074
P 0.3867 0.6133 0.6076
P 0.6133 0.3867 0.1076
P 0.0648 0.9352 0.5572
P 0.9352 0.0648 0.0572
P 0.4081 0.5919 0.7849
P 0.5919 0.4081 0.2849
P 0.8137 0.1863 0.9296
P 0.1863 0.8137 0.4296
P 0.9091 0.0909 0.7797
P 0.0909 0.9091 0.2797
P 0.5483 0.4517 0.5639
P 0.4517 0.5483 0.0640
P 0.3785 0.1332 0.6636
P 0.6215 0.8668 0.1636
P 0.1332 0.3785 0.1636
P 0.8668 0.6215 0.6636
P 0.2719 0.2266 0.8159
P 0.7281 0.7734 0.3159
P 0.2266 0.2719 0.3159
P 0.7734 0.7281 0.8159
```

(2)
Below is ScAg2W after structural relaxation, with properties calculated at the PBE level. Values from VASP.

The value obtained for the density of states at the Fermi level is 3.274 states/eV per cell. Its crystal system is trigonal. The value obtained for the total magnetization is 0.000 μB/cell. As for the symmetry: R3m, No. 160. The value obtained for the total energy is -5.9358 eV/atom. The calculation puts the formation energy at 0.31 eV/atom.

Quantum ESPRESSO input file:
```
&SYSTEM
  ibrav = 0, nat = 4, ntyp = 3
/
ATOMIC_SPECIES
Ag 107.87 Ag.upf
Sc 44.96 Sc.upf
W 183.84 W.upf
CELL_PARAMETERS angstrom
-7.9780 4.6825 3.1658
-9.0157 1.9114 3.2651
-7.4730 2.9970 5.5470
ATOMIC_POSITIONS crystal
Ag 0.0010 0.0010 0.0010
Ag 0.2504 0.2504 0.2504
Sc 0.4983 0.4983 0.4983
W 0.7502 0.7502 0.7502
```

(3)
Below is ZnBiI2 after structural relaxation, with properties calculated at the PBE level. Values from VASP.

The value obtained for the density of states at the Fermi level is 6.519 states/eV per cell. Its crystal system is tetragonal. The value obtained for the total magnetization is 0.000 μB/cell. As for the symmetry: I-42d, No. 122. The value obtained for the total energy is -1.9096 eV/atom. Its raw formation energy is 154 meV per atom.

Quantum ESPRESSO input file:
```
&SYSTEM
  ibrav = 0, nat = 8, ntyp = 3
/
ATOMIC_SPECIES
I 126.90 I.upf
Zn 65.41 Zn.upf
Bi 208.98 Bi.upf
CELL_PARAMETERS angstrom
8.5385 0.0000 0.0000
0.0000 8.5385 0.0000
4.2692 4.2692 3.7797
ATOMIC_POSITIONS crystal
I 0.6137 0.1250 0.2500
I 0.1363 0.6250 0.2500
I 0.3750 0.3863 0.7500
I 0.8750 0.8637 0.7500
Zn 0.5000 0.5000 0.0000
Zn 0.2500 0.7500 0.5000
Bi 0.0000 0.0000 0.0000
Bi 0.7500 0.2500 0.5000
```

(4)
Below is Er2Cd2Ir after structural relaxation, with properties calculated at the PBE level. Values from VASP.

The value obtained for the density of states at the Fermi level is 3.458 states/eV per cell. Its crystal system is tetragonal. The value obtained for the total magnetization is 0.000 μB/cell. As for the symmetry: I4/mmm, No. 139. The value obtained for the total energy is -4.5007 eV/atom. The calculation puts the formation energy at -0.54 eV/atom.

Quantum ESPRESSO input file:
```
&SYSTEM
  ibrav = 0, nat = 5, ntyp = 3
/
ATOMIC_SPECIES
Er 167.26 Er.upf
Cd 112.41 Cd.upf
Ir 192.22 Ir.upf
CELL_PARAMETERS angstrom
-1.5805 -2.5510 1.5965
2.5122 -0.1255 2.2864
-5.2630 7.8321 3.6860
ATOMIC_POSITIONS crystal
Er 0.5845 0.5845 0.1690
Er 0.4155 0.4155 0.8310
Cd 0.7983 0.7983 0.5966
Cd 0.2017 0.2017 0.4034
Ir 0.0000 0.0000 0.0000
```

(5)
Below is LaCrGa2Ni after structural relaxation, with properties calculated at the PBE level. Values from VASP.

The value obtained for the density of states at the Fermi level is 6.775 states/eV per cell. Its crystal system is tetragonal. The value obtained for the total magnetization is 1.688 μB/cell. As for the symmetry: P4/mmm, No. 123. The value obtained for the total energy is -4.7946 eV/atom. The calculation puts the formation energy at 0.48 eV/atom.

Quantum ESPRESSO input file:
```
&SYSTEM
  ibrav = 0, nat = 5, ntyp = 4
/
ATOMIC_SPECIES
Ni 58.69 Ni.upf
Cr 52.00 Cr.upf
Ga 69.72 Ga.upf
La 138.91 La.upf
CELL_PARAMETERS angstrom
-2.5129 1.6732 -3.6573
-2.8655 -4.0288 0.1258
-2.9368 2.1830 3.0165
ATOMIC_POSITIONS crystal
Ni 0.5000 0.5000 0.5000
Cr 0.0000 0.0000 0.0000
Ga 0.0000 0.0000 0.5000
Ga 0.5000 0.0000 0.0000
La 0.0000 0.5000 0.0000
```

(6)
Below is Np2AsRh after structural relaxation, with properties calculated at the PBE level. Values from VASP.

The value obtained for the density of states at the Fermi level is 5.352 states/eV per cell. Its crystal system is tetragonal. The value obtained for the total magnetization is 0.000 μB/cell. As for the symmetry: P4/mmm, No. 123. The value obtained for the total energy is -9.6929 eV/atom. The calculation puts the formation energy at -0.22 eV/atom.

Quantum ESPRESSO input file:
```
&SYSTEM
  ibrav = 0, nat = 4, ntyp = 3
/
ATOMIC_SPECIES
Np 237.00 Np.upf
As 74.92 As.upf
Rh 102.91 Rh.upf
CELL_PARAMETERS angstrom
4.9827 0.0000 0.0000
0.0000 3.6591 0.0000
0.0000 0.0000 3.6591
ATOMIC_POSITIONS crystal
Np 0.0000 0.0000 0.5000
Np 0.0000 0.5000 0.0000
As 0.5000 0.5000 0.5000
Rh 0.5000 0.0000 0.0000
```

(7)
Below is LaMg4Tl2 after structural relaxation, with properties calculated at the PBE level. Values from VASP.

The value obtained for the density of states at the Fermi level is 9.525 states/eV per cell. Its crystal system is tetragonal. The value obtained for the total magnetization is 0.000 μB/cell. As for the symmetry: P4_2/mnm, No. 136. The value obtained for the total energy is -2.4728 eV/atom. The calculation puts the formation energy at -0.18 eV/atom.

Quantum ESPRESSO input file:
```
&SYSTEM
  ibrav = 0, nat = 14, ntyp = 3
/
ATOMIC_SPECIES
La 138.91 La.upf
Mg 24.30 Mg.upf
Tl 204.38 Tl.upf
CELL_PARAMETERS angstrom
4.6921 0.0000 0.0000
0.0000 8.7879 0.0000
0.0000 0.0000 8.7879
ATOMIC_POSITIONS crystal
La 0.5000 0.0000 0.0000
La 0.0000 0.5000 0.5000
Mg 0.0000 0.0950 0.3443
Mg 0.0000 0.9050 0.6557
Mg 0.5000 0.1557 0.5950
Mg 0.5000 0.8443 0.4050
Mg 0.5000 0.4050 0.8443
Mg 0.5000 0.5950 0.1557
Mg 0.0000 0.3443 0.0950
Mg 0.0000 0.6557 0.9050
Tl 0.0000 0.2065 0.7935
Tl 0.0000 0.7935 0.2065
Tl 0.5000 0.7065 0.7065
Tl 0.5000 0.2935 0.2935
```

(8)
Below is Pr3Zn3Pt after structural relaxation, with properties calculated at the PBE level. Values from VASP.

The value obtained for the density of states at the Fermi level is 5.327 states/eV per cell. Its crystal system is orthorhombic. The value obtained for the total magnetization is 0.000 μB/cell. As for the symmetry: Imm2, No. 44. The value obtained for the total energy is -3.9803 eV/atom. The calculation puts the formation energy at -0.52 eV/atom.

Quantum ESPRESSO input file:
```
&SYSTEM
  ibrav = 0, nat = 7, ntyp = 3
/
ATOMIC_SPECIES
Pr 140.91 Pr.upf
Zn 65.41 Zn.upf
Pt 195.08 Pt.upf
CELL_PARAMETERS angstrom
-2.7494 3.5625 0.7111
-3.0418 -2.3078 -0.1992
3.4231 -2.1625 9.4735
ATOMIC_POSITIONS crystal
Pr 0.3172 0.8172 0.6344
Pr 0.6905 0.1905 0.3809
Pr 0.9938 0.9938 0.9876
Zn 0.1370 0.6370 0.2740
Zn 0.8617 0.3617 0.7234
Zn 0.5662 0.5662 0.1323
Pt 0.4336 0.4336 0.8672
```